First-principles (GGA+U) data for a geometry-optimized Na3MnAsCO7 structure, as listed in Alexandria.

Computed properties:
DOS at the Fermi energy   0.0 states/eV/cell
Total energy   -163.98 eV per cell
Space-group type   P2_1/m, No. 11

Cell lengths 5.282, 7.018, 9.220 Å; angles 90.00, 90.17, 90.00 degrees
Site moments in Bohr magnetons follow the coordinates.
Element x y z (fractional)
O 0.953 0.750 0.383  0.02
O 0.217 0.944 0.808  0.02
O 0.783 0.056 0.192  0.02
O 0.217 0.556 0.808  0.02
O 0.827 0.250 0.916  0.02
O 0.471 0.250 0.639  0.02
O 0.292 0.250 0.416  0.01
O 0.783 0.444 0.192  0.02
O 0.529 0.750 0.361  0.02
O 0.047 0.250 0.617  0.02
O 0.173 0.750 0.084  0.02
O 0.627 0.750 0.934  0.02
O 0.708 0.750 0.584  0.01
O 0.373 0.250 0.066  0.02
Na 0.240 0.750 0.580  0.00
Na 0.245 0.003 0.246  0.00
Na 0.760 0.250 0.420  0.00
Na 0.755 0.503 0.754  0.00
Na 0.755 0.997 0.754  0.00
Na 0.245 0.497 0.246  0.00
C 0.730 0.750 0.444  0.00
C 0.270 0.250 0.556  0.00
Mn 0.777 0.750 0.149  4.64
Mn 0.223 0.250 0.851  4.64
As 0.301 0.750 0.913  0.02
As 0.699 0.250 0.087  0.02